Below is a geometry-optimized NdBe2TeO8 structure, with properties calculated at the GGA-PBE level.

Computed properties:
* space-group type: P-3m1 (164)
* uncorrected formation energy: -1572 meV per atom
* magnetization: 2.9 Bohr magnetons per cell

Lattice parameters (Å, degrees): 5.2105 5.2105 6.6248 90.00 90.00 120.00
Fractional coordinates of all 12 atoms:
Be1 0.3333 0.6667 0.7604
Be2 0.6667 0.3333 0.2396
Nd1 0.0000 0.0000 0.5000
O1 0.3333 0.6667 0.5107
O2 0.6773 0.8387 0.8106
O3 0.8387 0.1613 0.1894
O4 0.6667 0.3333 0.4893
O5 0.3227 0.1613 0.1894
O6 0.1613 0.3227 0.8106
O7 0.1613 0.8387 0.8106
O8 0.8387 0.6773 0.1894
Te1 0.0000 0.0000 0.0000